1.
Density functional theory data (PBE-GGA) for crystalline Al13W16 at its relaxed geometry.

a b c (Å): 8.477 8.477 8.477
angles (deg): 109.47 109.47 109.47
Sites, in units of the cell vectors:
Al  0.000  0.000  0.000
Al  0.000  0.406  0.685
Al  0.000  0.685  0.406
Al  0.279  0.594  0.594
Al  0.315  0.315  0.721
Al  0.315  0.721  0.315
Al  0.406  0.000  0.685
Al  0.406  0.685  0.000
Al  0.594  0.279  0.594
Al  0.594  0.594  0.279
Al  0.685  0.000  0.406
Al  0.685  0.406  0.000
Al  0.721  0.315  0.315
W  0.000  0.000  0.640
W  0.000  0.192  0.372
W  0.000  0.372  0.192
W  0.000  0.640  0.000
W  0.181  0.808  0.808
W  0.192  0.000  0.372
W  0.192  0.372  0.000
W  0.360  0.360  0.360
W  0.372  0.000  0.192
W  0.372  0.192  0.000
W  0.628  0.628  0.819
W  0.628  0.819  0.628
W  0.640  0.000  0.000
W  0.808  0.181  0.808
W  0.808  0.808  0.181
W  0.819  0.628  0.628

Results
- symmetry = No. 217
- electronic total energy (eV for the cell shown) = -250.933


2.
Density functional theory data (PBE-GGA) for crystalline Al3W at its relaxed geometry.

a b c (Å): 4.439 4.439 4.439
angles (deg): 60.00 60.00 60.00
Sites, in units of the cell vectors:
Al  0.000  0.000  0.000
Al  0.250  0.250  0.250
Al  0.750  0.750  0.750
W  0.500  0.500  0.500

Results
- symmetry = No. 225
- electronic total energy (eV for the cell shown) = -23.038


3.
Density functional theory data (PBE-GGA) for crystalline Al28W at its relaxed geometry.

a b c (Å): 8.556 8.556 8.556
angles (deg): 109.47 109.47 109.47
Sites, in units of the cell vectors:
Al  0.000  0.000  0.670
Al  0.000  0.190  0.376
Al  0.000  0.376  0.190
Al  0.000  0.414  0.692
Al  0.000  0.670  0.000
Al  0.000  0.692  0.414
Al  0.186  0.810  0.810
Al  0.190  0.000  0.376
Al  0.190  0.376  0.000
Al  0.278  0.586  0.586
Al  0.308  0.308  0.722
Al  0.308  0.722  0.308
Al  0.330  0.330  0.330
Al  0.376  0.000  0.190
Al  0.376  0.190  0.000
Al  0.414  0.000  0.692
Al  0.414  0.692  0.000
Al  0.586  0.278  0.586
Al  0.586  0.586  0.278
Al  0.624  0.624  0.814
Al  0.624  0.814  0.624
Al  0.670  0.000  0.000
Al  0.692  0.000  0.414
Al  0.692  0.414  0.000
Al  0.722  0.308  0.308
Al  0.810  0.186  0.810
Al  0.810  0.810  0.186
Al  0.814  0.624  0.624
W  0.000  0.000  0.000

Results
- symmetry = No. 217
- electronic total energy (eV for the cell shown) = -115.780


4.
Density functional theory data (PBE-GGA) for crystalline Al12W17 at its relaxed geometry.

a b c (Å): 8.357 8.357 8.357
angles (deg): 109.47 109.47 109.47
Sites, in units of the cell vectors:
Al  0.000  0.188  0.373
Al  0.000  0.373  0.188
Al  0.185  0.812  0.812
Al  0.188  0.000  0.373
Al  0.188  0.373  0.000
Al  0.373  0.000  0.188
Al  0.373  0.188  0.000
Al  0.627  0.627  0.815
Al  0.627  0.815  0.627
Al  0.812  0.185  0.812
Al  0.812  0.812  0.185
Al  0.815  0.627  0.627
W  0.000  0.000  0.000
W  0.000  0.000  0.635
W  0.000  0.409  0.680
W  0.000  0.635  0.000
W  0.000  0.680  0.409
W  0.271  0.591  0.591
W  0.320  0.320  0.729
W  0.320  0.729  0.320
W  0.365  0.365  0.365
W  0.409  0.000  0.680
W  0.409  0.680  0.000
W  0.591  0.271  0.591
W  0.591  0.591  0.271
W  0.635  0.000  0.000
W  0.680  0.000  0.409
W  0.680  0.409  0.000
W  0.729  0.320  0.320

Results
- symmetry = No. 217
- electronic total energy (eV for the cell shown) = -262.909


5.
Density functional theory data (PBE-GGA) for crystalline Al2W at its relaxed geometry.

a b c (Å): 5.040 5.040 17.173
angles (deg): 90.00 90.00 120.00
Sites, in units of the cell vectors:
Al  0.000  0.000  0.101
Al  0.000  0.000  0.399
Al  0.000  0.000  0.601
Al  0.000  0.000  0.899
Al  0.000  0.500  0.000
Al  0.000  0.500  0.500
Al  0.166  0.333  0.250
Al  0.166  0.834  0.250
Al  0.333  0.166  0.750
Al  0.500  0.000  0.000
Al  0.500  0.000  0.500
Al  0.500  0.500  0.000
Al  0.500  0.500  0.500
Al  0.667  0.834  0.250
Al  0.834  0.166  0.750
Al  0.834  0.667  0.750
W  0.333  0.667  0.122
W  0.333  0.667  0.378
W  0.333  0.667  0.669
W  0.333  0.667  0.831
W  0.667  0.333  0.169
W  0.667  0.333  0.331
W  0.667  0.333  0.622
W  0.667  0.333  0.878

Results
- symmetry = No. 194
- electronic total energy (eV for the cell shown) = -162.505


6.
Density functional theory data (PBE-GGA) for crystalline Al5W8 at its relaxed geometry.

a b c (Å): 9.578 9.578 9.578
angles (deg): 31.95 31.95 31.95
Sites, in units of the cell vectors:
Al  0.000  0.000  0.000
Al  0.167  0.167  0.167
Al  0.351  0.351  0.351
Al  0.649  0.649  0.649
Al  0.833  0.833  0.833
W  0.090  0.090  0.586
W  0.090  0.586  0.090
W  0.414  0.910  0.910
W  0.453  0.453  0.453
W  0.547  0.547  0.547
W  0.586  0.090  0.090
W  0.910  0.414  0.910
W  0.910  0.910  0.414

Results
- symmetry = No. 166
- electronic total energy (eV for the cell shown) = -118.830


7.
Density functional theory data (PBE-GGA) for crystalline Al8W7 at its relaxed geometry.

a b c (Å): 9.690 9.690 4.944
angles (deg): 90.00 90.00 90.00
Sites, in units of the cell vectors:
Al  0.061  0.262  0.000
Al  0.181  0.819  0.248
Al  0.181  0.819  0.752
Al  0.238  0.561  0.500
Al  0.262  0.061  0.000
Al  0.319  0.319  0.252
Al  0.319  0.319  0.748
Al  0.439  0.762  0.500
Al  0.561  0.238  0.500
Al  0.681  0.681  0.252
Al  0.681  0.681  0.748
Al  0.738  0.939  0.000
Al  0.762  0.439  0.500
Al  0.819  0.181  0.248
Al  0.819  0.181  0.752
Al  0.939  0.738  0.000
W  0.000  0.000  0.000
W  0.032  0.368  0.500
W  0.108  0.108  0.500
W  0.132  0.532  0.000
W  0.368  0.032  0.500
W  0.392  0.608  0.000
W  0.468  0.868  0.000
W  0.500  0.500  0.500
W  0.532  0.132  0.000
W  0.608  0.392  0.000
W  0.632  0.968  0.500
W  0.868  0.468  0.000
W  0.892  0.892  0.500
W  0.968  0.632  0.500

Results
- symmetry = No. 136
- electronic total energy (eV for the cell shown) = -240.546


8.
Density functional theory data (PBE-GGA) for crystalline Al12W at its relaxed geometry.

a b c (Å): 9.730 9.730 9.730
angles (deg): 31.08 31.08 31.08
Sites, in units of the cell vectors:
Al  0.046  0.046  0.046
Al  0.087  0.590  0.590
Al  0.156  0.156  0.156
Al  0.333  0.333  0.333
Al  0.410  0.410  0.913
Al  0.410  0.913  0.410
Al  0.590  0.087  0.590
Al  0.590  0.590  0.087
Al  0.667  0.667  0.667
Al  0.844  0.844  0.844
Al  0.913  0.410  0.410
Al  0.954  0.954  0.954
W  0.500  0.500  0.500

Results
- symmetry = No. 166
- electronic total energy (eV for the cell shown) = -57.173


9.
Density functional theory data (PBE-GGA) for crystalline AlW5 at its relaxed geometry.

a b c (Å): 5.175 5.175 8.436
angles (deg): 90.00 90.00 120.00
Sites, in units of the cell vectors:
Al  0.000  0.000  0.000
Al  0.000  0.000  0.500
W  0.170  0.340  0.250
W  0.170  0.830  0.250
W  0.333  0.667  0.563
W  0.333  0.667  0.937
W  0.340  0.170  0.750
W  0.660  0.830  0.250
W  0.667  0.333  0.063
W  0.667  0.333  0.437
W  0.830  0.170  0.750
W  0.830  0.660  0.750

Results
- symmetry = No. 194
- electronic total energy (eV for the cell shown) = -134.057


10.
Density functional theory data (PBE-GGA) for crystalline AlW2 at its relaxed geometry.

a b c (Å): 4.225 4.225 4.225
angles (deg): 60.00 60.00 60.00
Sites, in units of the cell vectors:
Al  0.000  0.000  0.000
W  0.250  0.250  0.250
W  0.750  0.750  0.750

Results
- symmetry = No. 225
- electronic total energy (eV for the cell shown) = -26.484


11.
Density functional theory data (PBE-GGA) for crystalline AlW at its relaxed geometry.

a b c (Å): 3.629 3.629 3.629
angles (deg): 60.00 60.00 60.00
Sites, in units of the cell vectors:
Al  0.000  0.000  0.000
W  0.500  0.500  0.500

Results
- symmetry = No. 225
- electronic total energy (eV for the cell shown) = -14.813


12.
Density functional theory data (PBE-GGA) for crystalline AlW3 at its relaxed geometry.

a b c (Å): 5.155 5.155 17.031
angles (deg): 90.00 90.00 120.00
Sites, in units of the cell vectors:
Al  0.000  0.500  0.000
Al  0.000  0.500  0.500
Al  0.500  0.000  0.000
Al  0.500  0.000  0.500
Al  0.500  0.500  0.000
Al  0.500  0.500  0.500
W  0.000  0.000  0.104
W  0.000  0.000  0.396
W  0.000  0.000  0.604
W  0.000  0.000  0.896
W  0.164  0.327  0.250
W  0.164  0.836  0.250
W  0.327  0.164  0.750
W  0.333  0.667  0.122
W  0.333  0.667  0.378
W  0.333  0.667  0.651
W  0.333  0.667  0.849
W  0.667  0.333  0.151
W  0.667  0.333  0.349
W  0.667  0.333  0.622
W  0.667  0.333  0.878
W  0.673  0.836  0.250
W  0.836  0.164  0.750
W  0.836  0.673  0.750

Results
- symmetry = No. 194
- electronic total energy (eV for the cell shown) = -248.278


13.
Density functional theory data (PBE-GGA) for crystalline Al4W11 at its relaxed geometry.

a b c (Å): 9.663 9.663 5.030
angles (deg): 90.00 90.00 90.00
Sites, in units of the cell vectors:
Al  0.069  0.264  0.000
Al  0.236  0.569  0.500
Al  0.264  0.069  0.000
Al  0.431  0.764  0.500
Al  0.569  0.236  0.500
Al  0.736  0.931  0.000
Al  0.764  0.431  0.500
Al  0.931  0.736  0.000
W  0.000  0.000  0.000
W  0.037  0.371  0.500
W  0.105  0.105  0.500
W  0.129  0.537  0.000
W  0.180  0.820  0.250
W  0.180  0.820  0.750
W  0.320  0.320  0.250
W  0.320  0.320  0.750
W  0.371  0.037  0.500
W  0.395  0.605  0.000
W  0.463  0.871  0.000
W  0.500  0.500  0.500
W  0.537  0.129  0.000
W  0.605  0.395  0.000
W  0.629  0.963  0.500
W  0.680  0.680  0.250
W  0.680  0.680  0.750
W  0.820  0.180  0.250
W  0.820  0.180  0.750
W  0.871  0.463  0.000
W  0.895  0.895  0.500
W  0.963  0.629  0.500

Results
- symmetry = No. 136
- electronic total energy (eV for the cell shown) = -315.978


14.
Density functional theory data (PBE-GGA) for crystalline Al14W at its relaxed geometry.

a b c (Å): 9.730 9.730 5.225
angles (deg): 90.00 90.00 90.00
Sites, in units of the cell vectors:
Al  0.046  0.369  0.000
Al  0.074  0.267  0.500
Al  0.096  0.096  0.000
Al  0.131  0.546  0.500
Al  0.173  0.827  0.248
Al  0.173  0.827  0.752
Al  0.233  0.574  0.000
Al  0.267  0.074  0.500
Al  0.327  0.327  0.252
Al  0.327  0.327  0.748
Al  0.369  0.046  0.000
Al  0.404  0.596  0.500
Al  0.426  0.767  0.000
Al  0.454  0.869  0.500
Al  0.546  0.131  0.500
Al  0.574  0.233  0.000
Al  0.596  0.404  0.500
Al  0.631  0.954  0.000
Al  0.673  0.673  0.252
Al  0.673  0.673  0.748
Al  0.733  0.926  0.500
Al  0.767  0.426  0.000
Al  0.827  0.173  0.248
Al  0.827  0.173  0.752
Al  0.869  0.454  0.500
Al  0.904  0.904  0.000
Al  0.926  0.733  0.500
Al  0.954  0.631  0.000
W  0.000  0.000  0.500
W  0.500  0.500  0.000

Results
- symmetry = No. 136
- electronic total energy (eV for the cell shown) = -130.098


15.
Density functional theory data (PBE-GGA) for crystalline AlW at its relaxed geometry.

a b c (Å): 5.296 5.296 16.799
angles (deg): 90.00 90.00 120.00
Sites, in units of the cell vectors:
Al  0.000  0.000  0.092
Al  0.000  0.000  0.408
Al  0.000  0.000  0.592
Al  0.000  0.000  0.908
Al  0.333  0.667  0.125
Al  0.333  0.667  0.375
Al  0.333  0.667  0.659
Al  0.333  0.667  0.841
Al  0.667  0.333  0.159
Al  0.667  0.333  0.341
Al  0.667  0.333  0.625
Al  0.667  0.333  0.875
W  0.000  0.500  0.000
W  0.000  0.500  0.500
W  0.163  0.325  0.250
W  0.163  0.837  0.250
W  0.325  0.163  0.750
W  0.500  0.000  0.000
W  0.500  0.000  0.500
W  0.500  0.500  0.000
W  0.500  0.500  0.500
W  0.675  0.837  0.250
W  0.837  0.163  0.750
W  0.837  0.675  0.750

Results
- symmetry = No. 194
- electronic total energy (eV for the cell shown) = -192.137


16.
Density functional theory data (PBE-GGA) for crystalline AlW5 at its relaxed geometry.

a b c (Å): 5.185 5.185 8.467
angles (deg): 90.00 90.00 120.29
Sites, in units of the cell vectors:
Al  0.171  0.829  0.750
Al  0.829  0.171  0.250
W  0.000  0.000  0.000
W  0.000  0.000  0.500
W  0.168  0.338  0.750
W  0.335  0.665  0.060
W  0.335  0.665  0.440
W  0.338  0.168  0.250
W  0.662  0.832  0.750
W  0.665  0.335  0.560
W  0.665  0.335  0.940
W  0.832  0.662  0.250

Results
- symmetry = No. 63
- electronic total energy (eV for the cell shown) = -133.377